Density functional theory data (PBE-GGA) for a relaxed structure of Ba2SrAlPd.

```
5
Lattice="6.3120 0.0000 0.0000 0.0000 6.3120 0.0000 0.0000 0.0000 5.0322" Properties=species:S:1:pos:R:3 pbc="T T T"
Sr 3.1560 3.1560 2.5161
Ba 0.0000 3.1560 0.0000
Ba 3.1560 0.0000 0.0000
Pd 0.0000 0.0000 0.0000
Al 0.0000 0.0000 2.5161
```

Summary:
Final energy = -15.472 eV/cell
Total magnetic moment = 0.00 μB/f.u.
Theoretical density = 4105 kg/m3